Here is a geometry-optimized LiAlZn structure from Alexandria via LeMat-Bulk. Energies are from PBE-GGA.

Calculated values
- Crystal system: orthorhombic
- ΔH_f (0 K): -101 meV/atom
- Energy above the most stable polymorph in this dataset: 16 meV per atom
- Theoretical density: 3.40 Mg/m³
- Spin magnetization: 0.00 μB/atom

```
LiAlZn
1.0
-1.458 2.240 3.716
1.458 -2.240 3.716
1.458 2.240 -3.716
Li Al Zn
1 1 1
Direct
0.000 0.000 0.000
0.620 0.620 0.000
0.309 0.809 0.500
```